*A*
DFT (GGA-PBE) results for a geometry-optimized AgBr2Cl structure.

```
AgBr2Cl
1.0
-0.547 4.499 -0.174
-5.304 -0.539 2.745
-1.501 0.042 5.810
Br Ag Cl
2 1 1
Direct
0.000 0.966 0.966
0.000 0.534 0.534
0.500 0.750 0.750
0.500 0.250 0.250
```

Values from the calculation:
Its space-group type is No. 65.

*B*
DFT (GGA-PBE) results for a geometry-optimized AgBr2Cl structure.

```
AgBr2Cl
1.0
7.856 -0.066 -0.019
-6.212 4.810 -0.019
0.801 2.312 3.416
Br Ag Cl
2 1 1
Direct
0.000 0.000 0.000
0.500 0.500 0.000
0.000 0.500 0.500
0.500 0.000 0.500
```

Values from the calculation:
Its space-group type is No. 12.

Most stable: *A*. Least stable: *B*.

*A*
DFT (GGA-PBE) results for a geometry-optimized AgBr2Cl structure.

```
AgBr2Cl
1.0
-0.082 2.953 3.109
-3.616 1.062 2.048
1.856 -5.998 4.513
Br Ag Cl
2 1 1
Direct
0.889 0.889 0.057
0.747 0.747 0.748
0.255 0.255 0.268
0.608 0.608 0.427
```

Values from the calculation:
Its space-group type is No. 8.

*B*
DFT (GGA-PBE) results for a geometry-optimized AgBr2Cl structure.

```
AgBr2Cl
1.0
-1.505 0.749 -7.431
-3.181 -2.168 6.575
-1.201 3.601 0.606
Br Ag Cl
2 1 1
Direct
0.000 0.000 0.000
0.500 0.500 0.000
0.000 0.500 0.500
0.500 0.000 0.500
```

Values from the calculation:
Its space-group type is No. 65.

Most stable: *A*. Least stable: *B*.

*A*
DFT (GGA-PBE) results for a geometry-optimized AgBr2Cl structure.

```
AgBr2Cl
1.0
-2.080 2.651 -7.660
-5.556 2.415 -5.773
-3.255 5.605 -5.294
Br Ag Cl
2 1 1
Direct
0.018 0.018 0.018
0.259 0.259 0.259
0.751 0.751 0.751
0.472 0.472 0.472
```

Values from the calculation:
Its space-group type is No. 160.

*B*
DFT (GGA-PBE) results for a geometry-optimized AgBr2Cl structure.

```
AgBr2Cl
1.0
4.655 -0.092 0.000
-2.979 3.578 0.000
0.000 0.000 7.904
Br Ag Cl
2 1 1
Direct
0.000 0.000 0.965
0.000 0.000 0.535
0.500 0.500 0.750
0.500 0.500 0.250
```

Values from the calculation:
Its space-group type is No. 65.

*C*
DFT (GGA-PBE) results for a geometry-optimized AgBr2Cl structure.

```
AgBr2Cl
1.0
0.000 3.619 3.619
3.619 0.000 3.619
3.619 3.619 0.000
Br Ag Cl
2 1 1
Direct
0.250 0.250 0.250
0.750 0.750 0.750
0.500 0.500 0.500
0.000 0.000 0.000
```

Values from the calculation:
Its space-group type is No. 225.

*D*
DFT (GGA-PBE) results for a geometry-optimized AgBr2Cl structure.

```
AgBr2Cl
1.0
3.793 0.000 0.000
0.000 2.760 0.000
0.000 0.000 11.160
Br Ag Cl
2 1 1
Direct
0.000 0.000 0.917
0.500 0.500 0.257
0.500 0.500 0.738
0.000 0.000 0.587
```

Values from the calculation:
Its space-group type is No. 25.

Most stable: *B*. Least stable: *C*.

*A*
DFT (GGA-PBE) results for a geometry-optimized AgBr2Cl structure.

```
AgBr2Cl
1.0
7.925 -0.034 -1.330
6.957 3.795 -1.330
-0.227 -0.057 3.943
Br Ag Cl
2 1 1
Direct
0.004 0.004 0.003
0.496 0.496 0.497
0.250 0.250 0.250
0.750 0.750 0.750
```

Values from the calculation:
Its space-group type is No. 12.

*B*
DFT (GGA-PBE) results for a geometry-optimized AgBr2Cl structure.

```
AgBr2Cl
1.0
10.394 0.000 0.000
0.000 10.394 0.000
5.197 5.197 2.441
Br Ag Cl
4 2 2
Direct
0.661 0.125 0.250
0.089 0.625 0.250
0.375 0.339 0.750
0.875 0.911 0.750
0.000 0.000 0.000
0.750 0.250 0.500
0.500 0.500 0.000
0.250 0.750 0.500
```

Values from the calculation:
Its space-group type is No. 122.

*C*
DFT (GGA-PBE) results for a geometry-optimized AgBr2Cl structure.

```
AgBr2Cl
1.0
7.030 -0.149 0.053
2.679 6.501 -0.053
-3.364 -5.453 2.896
Br Ag Cl
2 1 1
Direct
0.923 0.923 0.000
0.245 0.745 0.500
0.747 0.247 0.500
0.584 0.584 0.000
```

Values from the calculation:
Its space-group type is No. 44.

Most stable: *B*. Least stable: *C*.